Compound: TaSn2Mo2
Source: the Alexandria database
Functional: PBE
Structure: relaxed

Cell lengths 3.677, 3.677, 7.888 Å; angles 76.52, 76.52, 90.00 degrees
Positions (direct):
Sn 0.399 0.399 0.202
Sn 0.601 0.601 0.798
Ta 0.000 0.000 0.000
Mo 0.250 0.750 0.500
Mo 0.750 0.250 0.500

V: 100.7 Å³ per cell
N(E_F): 1.0690 states/eV per atom
uncorrected energy: -38.09 eV for the cell shown